No. 1
Entry from Alexandria: a geometry-optimized CeTh2MnC4 structure (PBE).

- Magnetization: 7.56 μB per cell
- Uncorrected energy: -8.3884 eV/atom
- Formation energy from the elements: -0.034 eV/atom
- Calculated density: 8.72 g/cm³

a b c (Å): 3.597 11.972 12.510
angles (deg): 90.00 90.00 90.00
Space group Cmcm (No. 63)
Asymmetric unit:
Ce 0.000 0.099 0.250 [4 per cell]
Th 0.000 0.365 0.046 [8 per cell]
Mn 0.000 0.173 0.750 [4 per cell]
C 0.000 0.000 0.000 [4 per cell]
C 0.000 0.271 0.640 [8 per cell]
C 0.000 0.402 0.250 [4 per cell]

***

No. 2
Entry from Alexandria: a geometry-optimized CoB3Rh structure (PBE).

- Magnetization: 1.78 μB per cell
- Uncorrected energy: -5.5367 eV/atom
- Formation energy from the elements: 1.361 eV/atom
- Calculated density: 5.11 g/cm³

a b c (Å): 3.982 3.982 3.982
angles (deg): 90.00 90.00 90.00
Space group Pm-3m (No. 221)
Asymmetric unit:
Co 0.000 0.000 0.000 [1 per cell]
B 0.000 0.500 0.500 [3 per cell]
Rh 0.500 0.500 0.500 [1 per cell]

***

No. 3
Entry from Alexandria: a geometry-optimized Na3LiCr2S6 structure (PBE).

- Magnetization: 7.98 μB per cell
- Uncorrected energy: -5.0272 eV/atom
- Calculated density: 2.81 g/cm³
- Formation energy (no corrections): -870 meV/atom

a b c (Å): 6.226 10.819 6.855
angles (deg): 90.00 107.90 90.00
Space group C2/m (No. 12)
Asymmetric unit:
Na 0.000 0.000 0.000 [2 per cell]
Na 0.000 0.343 0.000 [4 per cell]
Li 0.000 0.500 0.500 [2 per cell]
Cr 0.000 0.168 0.500 [4 per cell]
S 0.204 0.000 0.701 [4 per cell]
S 0.249 0.183 0.298 [8 per cell]

***

Question: The highest uncorrected energy belongs to which entry?
Answer: Na3LiCr2S6